Entry from Alexandria via LeMat-Bulk: crystalline Rb2Ce2InSe6 at its relaxed geometry (PBE).

Formation energy from raw total energies: -1.36 eV per atom
Theoretical density: 4.5 g/cm³
Space group: C2/m
Spin magnetization: 1.04 μB/f.u.

a = 7.318 Å, b = 7.318 Å, c = 8.570 Å
α = 98.08°, β = 98.08°, γ = 120.11°
Site moments in Bohr magnetons follow the coordinates.
Fractional positions:
Se (0.608, 0.936, 0.307)  -0.02
Rb (0.833, 0.167, 0.000)  0.00
Ce (0.333, 0.667, 0.500)  0.57
Se (0.392, 0.064, 0.693)  -0.02
Se (0.936, 0.608, 0.307)  -0.02
Se (0.745, 0.745, 0.689)  -0.02
Se (0.064, 0.392, 0.693)  -0.02
In (0.000, 0.000, 0.500)  0.00
Se (0.255, 0.255, 0.311)  -0.02
Rb (0.167, 0.833, 0.000)  0.00
Ce (0.667, 0.333, 0.500)  0.57